{
  "formula": "LiFeP2O",
  "functional": "PBE+U",
  "state": "relaxed",
  "cell": [[4.724, 0.000, 0.000], [0.000, 4.724, 0.000], [0.000, 0.000, 3.324]],
  "species": ["Li", "Fe", "P", "P", "O"],
  "fractional_positions": [[0.500, 0.500, 0.500], [0.000, 0.000, 0.000], [0.000, 0.500, 0.000], [0.500, 0.000, 0.000], [0.000, 0.000, 0.500]],
  "crystal_system": "tetragonal",
  "polymorph_energy_mev_per_atom": 0.0,
  "final_energy_ev_per_atom": -4.168
}